## LaTbB12 (PBE-GGA)

Data for a geometry-optimized LaTbB12 structure.

CIF file:
```
data_LaTbB12
_chemical_formula_sum 'La1 Tb1 B12'
_space_group_name_H-M_alt 'P 4/m m m'
_space_group_IT_number 123
_space_group_name_Hall '-P 4 2'
_cell_length_a 4.127
_cell_length_b 4.127
_cell_length_c 8.253
_cell_angle_alpha 90.00
_cell_angle_beta 90.00
_cell_angle_gamma 90.00
loop_
_atom_site_label
_atom_site_type_symbol
_atom_site_fract_x
_atom_site_fract_y
_atom_site_fract_z
La1 La 0.000 0.000 0.000
Tb1 Tb 0.000 0.000 0.500
B1 B 0.199 0.500 0.252
B2 B 0.500 0.500 0.101
B3 B 0.500 0.500 0.402
```

- Energy relative to the elements: -490 meV/atom
- Total moment: 0.00 μB per cell
- N(E_F): 1.47 states/eV/f.u.

## La2TcB (PBE-GGA)

Data for a geometry-optimized La2TcB structure.

CIF file:
```
data_La2TcB
_chemical_formula_sum 'La8 Tc4 B4'
_space_group_name_H-M_alt 'I -4 2 d'
_space_group_IT_number 122
_space_group_name_Hall 'I -4 2bw'
_cell_length_a 7.341
_cell_length_b 7.341
_cell_length_c 6.840
_cell_angle_alpha 90.00
_cell_angle_beta 90.00
_cell_angle_gamma 90.00
loop_
_atom_site_label
_atom_site_type_symbol
_atom_site_fract_x
_atom_site_fract_y
_atom_site_fract_z
La1 La 0.250 0.250 0.125
Tc1 Tc 0.000 0.000 0.000
B1 B 0.000 0.000 0.500
```

- Energy relative to the elements: 757 meV/atom
- Total moment: 0.00 μB per cell
- N(E_F): 3.65 states/eV/f.u.

## LaTc3B (PBE-GGA)

Data for a geometry-optimized LaTc3B structure.

CIF file:
```
data_LaTc3B
_chemical_formula_sum 'La1 Tc3 B1'
_space_group_name_H-M_alt 'P m -3 m'
_space_group_IT_number 221
_space_group_name_Hall '-P 4 2 3'
_cell_length_a 4.829
_cell_length_b 4.829
_cell_length_c 4.829
_cell_angle_alpha 90.00
_cell_angle_beta 90.00
_cell_angle_gamma 90.00
loop_
_atom_site_label
_atom_site_type_symbol
_atom_site_fract_x
_atom_site_fract_y
_atom_site_fract_z
La1 La 0.000 0.000 0.000
Tc1 Tc 0.000 0.000 0.500
B1 B 0.500 0.500 0.500
```

- Energy relative to the elements: 3030 meV/atom
- Total moment: 5.31 μB per cell
- N(E_F): 6.61 states/eV/f.u.
- Excess energy over the best structure of this formula in the dataset: 2831 meV/atom

## La3TcB (PBE-GGA)

Data for a geometry-optimized La3TcB structure.

CIF file:
```
data_La3TcB
_chemical_formula_sum 'La3 Tc1 B1'
_space_group_name_H-M_alt 'P m -3 m'
_space_group_IT_number 221
_space_group_name_Hall '-P 4 2 3'
_cell_length_a 5.165
_cell_length_b 5.165
_cell_length_c 5.165
_cell_angle_alpha 90.00
_cell_angle_beta 90.00
_cell_angle_gamma 90.00
loop_
_atom_site_label
_atom_site_type_symbol
_atom_site_fract_x
_atom_site_fract_y
_atom_site_fract_z
La1 La 0.000 0.000 0.500
Tc1 Tc 0.500 0.500 0.500
B1 B 0.000 0.000 0.000
```

- Energy relative to the elements: 610 meV/atom
- Total moment: 0.00 μB per cell
- N(E_F): 9.08 states/eV/f.u.
- Excess energy over the best structure of this formula in the dataset: 0 meV/atom